1.
Computed, not measured: crystalline Pa3Zn2Cu9 at its relaxed geometry at the PBE level of DFT.

The value obtained for the density of states at the Fermi level is 28.2 states/eV/cell. The uncorrected energy comes out at -136.7 eV per cell. The formation energy comes out at -0.462 eV/f.u.

It has space group Immm (No. 71), with a = 4.2555 Å, b = 8.4686 Å, c = 12.4644 Å, α = 90.00°, β = 90.00° and γ = 90.00°. The asymmetric unit holds Pa at (0.0000, 0.0000, 0.0000), Pa at (0.0000, 0.0000, 0.2834), Zn at (0.0000, 0.1784, 0.5000), Cu at (0.0000, 0.2897, 0.1363), Cu at (0.0000, 0.3556, 0.3421) and Cu at (0.0000, 0.5000, 0.0000).


2.
Computed, not measured: crystalline Pa4ZnTc5 at its relaxed geometry at the PBE level of DFT.

The value obtained for the density of states at the Fermi level is 20.1 states/eV/cell. The uncorrected energy comes out at -184.9 eV per cell. The formation energy comes out at -1.348 eV/f.u.

It has space group Pmmn (No. 59, origin choice 2), with a = 9.3301 Å, b = 10.0669 Å, c = 4.2558 Å, α = 90.00°, β = 90.00° and γ = 90.00°. The asymmetric unit holds Pa at (0.0550, 0.2500, 0.2498), Pa at (0.2500, 0.5201, 0.7489), Zn at (0.2500, 0.7500, 0.2479), Tc at (0.0327, 0.6019, 0.2502) and Tc at (0.2500, 0.2500, 0.7498).


3.
Computed, not measured: crystalline RbCuTeS3 at its relaxed geometry at the PBE level of DFT.

The uncorrected formation energy comes out at -427 meV/atom. The uncorrected energy comes out at -92.6 eV per cell.

It has space group P2_1/c (No. 14), with a = 7.6144 Å, b = 10.6725 Å, c = 8.1712 Å, α = 90.00°, β = 105.53° and γ = 90.00°. The asymmetric unit holds Rb at (0.0265, 0.2408, 0.3840), Cu at (0.4236, 0.7499, 0.4803), Te at (0.4394, 0.5030, 0.7340), S at (0.2499, 0.5665, 0.9132), S at (0.2524, 0.5656, 0.4601) and S at (0.3937, 0.2244, 0.2243).


4.
Computed, not measured: crystalline CaPd6Pb at its relaxed geometry at the PBE level of DFT.

The value obtained for the density of states at the Fermi level is 5.6 states/eV/cell. The uncorrected energy comes out at -39.9 eV per cell. The formation energy comes out at -3.024 eV/f.u.

It has space group P-6m2 (No. 187), with a = 5.8641 Å, b = 5.8641 Å, c = 4.6926 Å, α = 90.00°, β = 90.00° and γ = 120.00°. The asymmetric unit holds Ca at (0.0000, 0.0000, 0.0000), Pd at (0.0063, 0.5031, 0.0000), Pd at (0.1724, 0.3448, 0.5000) and Pb at (0.6667, 0.3333, 0.5000).


5.
Computed, not measured: crystalline Rb3TmPu2O9 at its relaxed geometry at the PBE level of DFT.

The value obtained for the density of states at the Fermi level is 8.8 states/eV/cell. The uncorrected formation energy comes out at -2535 meV/atom. The uncorrected energy comes out at -118.7 eV per cell.

It has space group P-3m1 (No. 164), with a = 6.0802 Å, b = 6.0802 Å, c = 7.4562 Å, α = 90.00°, β = 90.00° and γ = 120.00°. The asymmetric unit holds Rb at (0.0000, 0.0000, 0.0000), Rb at (0.3333, 0.6667, 0.6625), Tm at (0.0000, 0.0000, 0.5000), Pu at (0.3333, 0.6667, 0.1668), O at (0.0000, 0.5000, 0.0000) and O at (0.1744, 0.3487, 0.3232).


6.
Computed, not measured: crystalline NbIr3Ru at its relaxed geometry at the PBE level of DFT.

The value obtained for the density of states at the Fermi level is 13.6 states/eV/cell. The uncorrected energy comes out at -87.0 eV per cell. The formation energy comes out at 2.446 eV/f.u.

It has space group P6_3/mmc (No. 194), with a = 6.4503 Å, b = 6.4503 Å, c = 4.7582 Å, α = 90.00°, β = 90.00° and γ = 120.00°. The asymmetric unit holds Nb at (0.3333, 0.6667, 0.2500), Ir at (0.2028, 0.4056, 0.7500) and Ru at (0.0000, 0.0000, 0.0000).


7.
Computed, not measured: crystalline TaAs at its relaxed geometry at the PBE level of DFT.

The value obtained for the density of states at the Fermi level is 4.7 states/eV/cell. The uncorrected energy comes out at -103.5 eV per cell. The formation energy comes out at -0.755 eV/f.u.

It has space group Cm (No. 8), with a = 9.3120 Å, b = 3.3627 Å, c = 6.8769 Å, α = 90.00°, β = 105.80° and γ = 90.00°. The asymmetric unit holds Ta at (0.0000, 0.0000, 0.0000), Ta at (0.0697, 0.0000, 0.5979), Ta at (0.3250, 0.0000, 0.2823), As at (0.1164, 0.5000, 0.3254), As at (0.2014, 0.5000, 0.9315) and As at (0.3720, 0.0000, 0.6856).


8.
Computed, not measured: crystalline HfTcNO2 at its relaxed geometry at the PBE level of DFT.

The value obtained for the density of states at the Fermi level is 3.4 states/eV/cell. The uncorrected formation energy comes out at -668 meV/atom. The uncorrected energy comes out at -41.9 eV per cell.

It has space group P4/mmm (No. 123), with a = 3.8609 Å, b = 3.8609 Å, c = 3.8534 Å, α = 90.00°, β = 90.00° and γ = 90.00°. The asymmetric unit holds Hf at (0.0000, 0.0000, 0.0000), Tc at (0.5000, 0.5000, 0.5000), N at (0.5000, 0.5000, 0.0000) and O at (0.0000, 0.5000, 0.5000).


Number 1: size of the total moment 0.0 μB per cell. Number 2: size of the total moment 0.0 μB per cell. Number 3: size of the total moment 0.0 μB per cell. Number 4: size of the total moment 0.0 μB per cell. Number 5: size of the total moment 4.0 μB per cell. Number 6: size of the total moment 0.0 μB per cell. Number 7: size of the total moment 0.0 μB per cell. Number 8: size of the total moment 0.0 μB per cell.